[1]
AlMoBr2 | Alexandria via LeMat-Bulk | PBE | optimized geometry; space-group type = R-3m (166)
1.0
1.642 0.948 9.841
-1.642 0.948 9.841
0.000 -1.896 9.841
Al Mo Br
1 1 2
direct
0.000 0.000 0.000
0.500 0.500 0.500
0.105 0.105 0.105
0.895 0.895 0.895



[2]
ZnSe2Cl | Alexandria via LeMat-Bulk | PBE | optimized geometry; space-group type = Imm2 (44)
1.0
-1.691 3.789 4.321
1.691 -3.789 4.321
1.691 3.789 -4.321
Zn Se Cl
1 2 1
direct
0.000 0.000 0.000
0.561 0.561 0.000
0.777 0.277 0.500
0.182 0.682 0.500



Number 1: raw total energy -4.21 eV per atom, formation energy without anion corrections 1.07 eV/f.u.. Number 2: raw total energy -2.68 eV per atom, formation energy without anion corrections -0.63 eV/f.u..